No. 1
Below is K2AsCl6 after structural relaxation, with properties calculated at the GGA-PBE level.

Uncorrected formation energy (eV per atom): -1.132
Magnetization (μB/cell): 1.515
Space-group type: P4_2/mnm (136)
Energy (eV/atom): -3.124

Unit cell a=6.7943 b=6.7943 c=13.1824 alpha=90.00 beta=90.00 gamma=90.00
Closest atoms and distances in Å follow each position.
Positions (direct):
K 0.5000 0.5000 0.1656  6 Cl 3.16-3.24
K 0.5000 0.5000 0.8344  6 Cl 3.16-3.24
K 0.0000 0.0000 0.3344  6 Cl 3.16-3.24
K 0.0000 0.0000 0.6656  6 Cl 3.16-3.24
Cl 0.6747 0.6747 0.6312  1 As 2.41
Cl 0.1747 0.8253 0.8688  1 As 2.41
Cl 0.8253 0.1747 0.8688  1 As 2.41
Cl 0.8253 0.1747 0.1312  1 As 2.41
Cl 0.2495 0.7505 0.5000  1 As 2.41
Cl 0.6747 0.6747 0.3688  1 As 2.41
Cl 0.7495 0.7495 0.0000  1 As 2.41
Cl 0.3253 0.3253 0.6312  1 As 2.41
Cl 0.7505 0.2495 0.5000  1 As 2.41
Cl 0.1747 0.8253 0.1312  1 As 2.41
Cl 0.3253 0.3253 0.3688  1 As 2.41
Cl 0.2505 0.2505 0.0000  1 As 2.41
As 0.0000 0.0000 0.0000  6 Cl 2.41
As 0.5000 0.5000 0.5000  6 Cl 2.41

---

No. 2
Below is KAsCl4 after structural relaxation, with properties calculated at the GGA-PBE level.

Relative energy among the computed polymorphs (meV per atom): 11
Uncorrected formation energy (eV per atom): -1.105
Magnetization (μB/cell): 0.000
Space-group type: C2/c (15)
Energy (eV/atom): -3.294

Unit cell a=7.0423 b=8.5708 c=8.5708 alpha=116.44 beta=93.65 gamma=93.65
Closest atoms and distances in Å follow each position.
Positions (direct):
Cl 0.6500 0.9808 0.8414  1 As 2.33
Cl 0.4275 0.7727 0.4121  1 As 2.53
Cl 0.5725 0.2273 0.5879  1 As 2.53
Cl 0.0725 0.0879 0.7273  1 As 2.53
Cl 0.1500 0.3414 0.4808  1 As 2.33
Cl 0.9275 0.9121 0.2727  1 As 2.53
Cl 0.3500 0.0192 0.1586  1 As 2.33
Cl 0.8500 0.6586 0.5192  1 As 2.33
K 0.7500 0.2434 0.2566  6 Cl 3.15-3.25
K 0.2500 0.7566 0.7434  6 Cl 3.15-3.25
As 0.2500 0.0701 0.4299  4 Cl 2.33-2.53
As 0.7500 0.9299 0.5701  4 Cl 2.33-2.53

---

No. 3
Below is KLaAsCl2 after structural relaxation, with properties calculated at the GGA-PBE level.

Uncorrected formation energy (eV per atom): -0.753
Magnetization (μB/cell): 1.000
Space-group type: P4/mmm (123)
Energy (eV/atom): -3.626

Unit cell a=5.4334 b=8.8464 c=5.4334 alpha=90.00 beta=90.00 gamma=90.00
Closest atoms and distances in Å follow each position.
Positions (direct):
As 0.5000 0.5000 0.5000  4 K 3.84
Cl 0.5000 0.0000 0.0000  2 La 2.72
Cl 0.0000 0.0000 0.5000  2 La 2.72
La 0.0000 0.0000 0.0000  4 Cl 2.72
K 0.0000 0.5000 0.0000  4 As 3.84

---

No. 4
Below is KLi2AsCl6 after structural relaxation, with properties calculated at the GGA-PBE level.

Uncorrected formation energy (eV per atom): -1.390
Magnetization (μB/cell): 0.000
Space-group type: R-3 (148)
Energy (eV/atom): -3.455

Unit cell a=6.4452 b=6.4452 c=8.4046 alpha=67.45 beta=67.44 gamma=60.00
Closest atoms and distances in Å follow each position.
Positions (direct):
Li 0.6441 0.6441 0.0672  6 Cl 2.54-2.66
Li 0.9882 0.9882 0.0361  6 Cl 2.54-2.65
Cl 0.2525 0.9298 0.2385  1 As 2.52, 2 Li 2.54-2.65
Cl 0.0533 0.3798 0.8643  1 As 2.52, 2 Li 2.54-2.65
Cl 0.9297 0.5792 0.2385  1 As 2.52, 2 Li 2.54-2.65
Cl 0.7026 0.0533 0.8644  1 As 2.52, 2 Li 2.54-2.66
Cl 0.3798 0.7025 0.8644  1 As 2.52, 2 Li 2.54-2.65
Cl 0.5791 0.2525 0.2386  1 As 2.52, 2 Li 2.54-2.65
As 0.3162 0.3162 0.0515  6 Cl 2.52
K 0.8162 0.8161 0.5515  6 Cl 3.20-3.21

---

No. 5
Below is KLiAsCl6 after structural relaxation, with properties calculated at the GGA-PBE level.

Uncorrected formation energy (eV per atom): -1.111
Magnetization (μB/cell): 0.748
Space-group type: P312 (149)
Energy (eV/atom): -3.194

Unit cell a=6.5303 b=6.5303 c=6.9725 alpha=90.00 beta=90.00 gamma=60.00
Closest atoms and distances in Å follow each position.
Positions (direct):
Cl 0.6197 0.3612 0.7002  1 As 2.41, 1 Li 2.58
Cl 0.3611 0.6197 0.2998  1 As 2.41, 1 Li 2.58
Cl 0.0191 0.3612 0.2998  1 As 2.41, 1 Li 2.58
Cl 0.0191 0.6197 0.7002  1 As 2.41, 1 Li 2.58
Cl 0.6197 0.0191 0.2998  1 As 2.41, 1 Li 2.58
Cl 0.3611 0.0192 0.7002  1 As 2.41, 1 Li 2.58
As 0.3333 0.3334 0.5000  6 Cl 2.41
K 0.0000 0.0000 0.0000  6 Cl 3.20
Li 0.6666 0.6667 0.5000  6 Cl 2.58

---

No. 6
Below is K2MnAsCl after structural relaxation, with properties calculated at the GGA-PBE level.

Uncorrected formation energy (eV per atom): 0.304
Magnetization (μB/cell): 4.960
Space-group type: P4/mmm (123)
Energy (eV/atom): -3.268

Unit cell a=6.4702 b=5.2040 c=6.4702 alpha=90.00 beta=90.00 gamma=90.00
Closest atoms and distances in Å follow each position.
Positions (direct):
As 0.0000 0.0000 0.0000  2 Cl 2.60
K 0.5000 0.0000 0.0000  2 As 3.24
K 0.0000 0.0000 0.5000  2 As 3.24
Mn 0.5000 0.5000 0.5000  8 K 4.15, 4 Cl 4.58
Cl 0.0000 0.5000 0.0000  2 As 2.60

---

- Among the records above, which one has the highest magnetization?
  K2MnAsCl

---

- Among the records above, which one has the highest energy?
  K2AsCl6

---

Repeat the second record exactly.
Below is KAsCl4 after structural relaxation, with properties calculated at the GGA-PBE level.

Relative energy among the computed polymorphs (meV per atom): 11
Uncorrected formation energy (eV per atom): -1.105
Magnetization (μB/cell): 0.000
Space-group type: C2/c (15)
Energy (eV/atom): -3.294

Unit cell a=7.0423 b=8.5708 c=8.5708 alpha=116.44 beta=93.65 gamma=93.65
Closest atoms and distances in Å follow each position.
Positions (direct):
Cl 0.6500 0.9808 0.8414  1 As 2.33
Cl 0.4275 0.7727 0.4121  1 As 2.53
Cl 0.5725 0.2273 0.5879  1 As 2.53
Cl 0.0725 0.0879 0.7273  1 As 2.53
Cl 0.1500 0.3414 0.4808  1 As 2.33
Cl 0.9275 0.9121 0.2727  1 As 2.53
Cl 0.3500 0.0192 0.1586  1 As 2.33
Cl 0.8500 0.6586 0.5192  1 As 2.33
K 0.7500 0.2434 0.2566  6 Cl 3.15-3.25
K 0.2500 0.7566 0.7434  6 Cl 3.15-3.25
As 0.2500 0.0701 0.4299  4 Cl 2.33-2.53
As 0.7500 0.9299 0.5701  4 Cl 2.33-2.53